{"formula": "Mg4TaOs", "functional": "PBE", "state": "optimized geometry", "lattice": [[2.945, -4.235, -1.161], [-1.084, -4.667, 2.236], [-2.034, -3.918, -2.911]], "species": ["Mg", "Mg", "Mg", "Mg", "Ta", "Os"], "fractional_positions": [[0.375, 0.875, 0.375], [0.375, 0.375, 0.375], [0.875, 0.375, 0.375], [0.375, 0.375, 0.875], [0.000, 0.000, 0.000], [0.750, 0.750, 0.750]], "final_energy_ev_per_cell": -25.96, "spacegroup": "F-43m, No. 216", "vol_a3_per_atom": 17.422, "dos_at_fermi_per_ev_cell": 3.83}